(1)
Mn5CuI12 | the Alexandria database | GGA-PBE | optimized geometry; SG = No. 12; Fermi-level density of states = 10.1 states/eV/cell; magnetization = 1.33 μB per atom; electronic total energy = -4.171 eV per atom; crystal system = monoclinic; formation energy without anion corrections = -0.363 eV/atom
1.0
3.5386 -6.2169 0.0000
3.5386 6.2169 0.0000
-0.1694 0.0000 15.2103
Mn Cu I
5 1 12
Direct
0.0000 0.0000 0.0000 Mn
0.1688 0.8312 0.5000 Mn
0.3333 0.6667 0.0000 Mn
0.6667 0.3333 0.0000 Mn
0.8312 0.1688 0.5000 Mn
0.5000 0.5000 0.5000 Cu
0.0026 0.3359 0.1097 I
0.1627 0.4985 0.6080 I
0.1779 0.1779 0.3973 I
0.3307 0.3307 0.8903 I
0.3359 0.0026 0.1097 I
0.4985 0.1627 0.6080 I
0.5015 0.8373 0.3920 I
0.6641 0.9974 0.8903 I
0.6693 0.6693 0.1097 I
0.8221 0.8221 0.6027 I
0.8373 0.5015 0.3920 I
0.9974 0.6641 0.8903 I

(2)
MnCu3I | the Alexandria database | GGA-PBE | optimized geometry; SG = No. 221; Fermi-level density of states = 5.4 states/eV/cell; magnetization = 0.80 μB per atom; electronic total energy = -3.606 eV per atom; crystal system = cubic; formation energy without anion corrections = 0.996 eV/atom; excess energy over the best structure of this formula in the dataset = 0 meV/atom
1.0
4.7125 0.0000 0.0000
0.0000 4.7125 0.0000
0.0000 0.0000 4.7125
Mn Cu I
1 3 1
Direct
0.0000 0.0000 0.0000 Mn
0.0000 0.0000 0.5000 Cu
0.0000 0.5000 0.0000 Cu
0.5000 0.0000 0.0000 Cu
0.5000 0.5000 0.5000 I

(3)
MnCuI5 | the Alexandria database | GGA-PBE | optimized geometry; SG = No. 15; Fermi-level density of states = 8.7 states/eV/cell; magnetization = 0.56 μB per atom; electronic total energy = -3.170 eV per atom; crystal system = monoclinic; formation energy without anion corrections = -0.168 eV/atom
1.0
6.7785 -3.3727 0.0000
6.7785 3.3727 0.0000
-0.0356 0.0000 11.5232
Mn Cu I
2 2 10
Direct
0.0000 0.0000 0.0000 Mn
0.0000 0.0000 0.5000 Mn
0.3557 0.6443 0.7500 Cu
0.6443 0.3557 0.2500 Cu
0.0966 0.6311 0.9106 I
0.1114 0.6239 0.5867 I
0.2487 0.7513 0.2500 I
0.3689 0.9034 0.5894 I
0.3761 0.8886 0.9133 I
0.6239 0.1114 0.0867 I
0.6311 0.0966 0.4106 I
0.7513 0.2487 0.7500 I
0.8886 0.3761 0.4133 I
0.9034 0.3689 0.0894 I

(4)
Mn2CuI | the Alexandria database | GGA-PBE | optimized geometry; SG = No. 122; Fermi-level density of states = 9.1 states/eV/cell; magnetization = 1.99 μB per atom; electronic total energy = -5.189 eV per atom; crystal system = tetragonal; formation energy without anion corrections = 0.807 eV/atom; excess energy over the best structure of this formula in the dataset = 0 meV/atom
1.0
-1.9845 1.9845 9.7159
1.9845 -1.9845 9.7159
1.9845 1.9845 -9.7159
Mn Cu I
4 2 2
Direct
0.1151 0.6250 0.9901 Mn
0.3750 0.3651 0.4901 Mn
0.6349 0.1250 0.0099 Mn
0.8750 0.8849 0.5099 Mn
0.0000 0.0000 0.0000 Cu
0.7500 0.2500 0.5000 Cu
0.2500 0.7500 0.5000 I
0.5000 0.5000 0.0000 I

> Number 4 is which compound?

Mn2CuI